RbLaPuBr6: relaxed, PBE.

The uncorrected formation energy comes out at -1.767 eV/atom. For the density of states at the Fermi level, the calculation gives 38.14 states/eV/cell. Its total energy is -92.33 eV for the cell shown.

The structure belongs to space group P-31c (No. 163); the cell edges are 7.7141, 7.7141 and 15.1245 Å and the angles 90.00°, 90.00° and 120.00°. The asymmetric unit holds Rb at (0.0000, 0.0000, 0.0000), La at (0.3333, 0.6667, 0.2500), Pu at (0.3333, 0.6667, 0.7500) and Br at (0.0008, 0.3695, 0.1371).

---

LaPuRhBr: relaxed, PBE.

The uncorrected formation energy comes out at -0.888 eV/atom. For the density of states at the Fermi level, the calculation gives 38.75 states/eV/cell. Its total energy is -95.51 eV for the cell shown.

The structure belongs to space group R3m (No. 160, hexagonal axes); the cell edges are 4.0368, 4.0368 and 24.0460 Å and the angles 90.00°, 90.00° and 120.00°. The asymmetric unit holds La at (0.0000, 0.0000, 0.0000), Pu at (0.0000, 0.0000, 0.7997), Rh at (0.0000, 0.0000, 0.4039) and Br at (0.0000, 0.0000, 0.2332).

---

Rb3LaBr8: relaxed, PBE.

The uncorrected formation energy comes out at -1.426 eV/atom. For the density of states at the Fermi level, the calculation gives 34.68 states/eV/cell. Its total energy is -76.65 eV for the cell shown.

The structure belongs to space group I4/mmm (No. 139); the cell edges are 7.761, 7.761 and 16.424 Å and the angles 90.00°, 90.00° and 90.00°. The asymmetric unit holds Rb at (0.000, 0.000, 0.000), Rb at (0.000, 0.500, 0.250), La at (0.000, 0.000, 0.500) and Br at (0.226, 0.226, 0.388).

---

RbLa2Br: relaxed, PBE.

The uncorrected formation energy comes out at 0.203 eV/atom. The value obtained for the polymorph energy (0 for the lowest one) is 275 meV/atom. For the density of states at the Fermi level, the calculation gives 16.65 states/eV/cell. Its total energy is -46.73 eV for the cell shown.

The structure belongs to space group Fm-3m (No. 225); the cell edges are 8.322, 8.322 and 8.322 Å and the angles 90.00°, 90.00° and 90.00°. The asymmetric unit holds Rb at (0.000, 0.000, 0.000), La at (0.250, 0.250, 0.250) and Br at (0.000, 0.000, 0.500).

---

Rb5La3Br12: relaxed, PBE.

The uncorrected formation energy comes out at -1.590 eV/atom. For the density of states at the Fermi level, the calculation gives 136.85 states/eV/cell. Its total energy is -571.92 eV for the cell shown.

The structure belongs to space group Ia-3d (No. 230); the cell edges are 19.070, 19.070 and 19.070 Å and the angles 90.00°, 90.00° and 90.00°. The asymmetric unit holds Rb at (0.000, 0.000, 0.000), Rb at (0.000, 0.250, 0.375), La at (0.000, 0.250, 0.125) and Br at (0.021, 0.094, 0.648).

---

RbLaBr4: relaxed, PBE.

The uncorrected formation energy comes out at -1.879 eV/atom. The value obtained for the polymorph energy (0 for the lowest one) is 0 meV/atom. For the density of states at the Fermi level, the calculation gives 0.00 states/eV/cell. Its total energy is -95.44 eV for the cell shown.

The structure belongs to space group C2/c (No. 15); the cell edges are 10.232, 14.539 and 7.523 Å and the angles 90.00°, 122.41° and 90.00°. The asymmetric unit holds Rb at (0.000, 0.138, 0.250), La at (0.000, 0.494, 0.750), Br at (0.102, 0.342, 0.566) and Br at (0.233, 0.061, 0.800).